Below is crystalline SrSi2Tc at its relaxed geometry, with properties calculated at the PBE-GGA level.

formation energy from raw total energies = 0.670 eV/atom
VASP energy = -20.2 eV per formula unit
polymorph energy (0 for the lowest one) = 1.000 eV per atom

CIF file:
```
data_SrSi2Tc
_cell_length_a 6.616
_cell_length_b 6.616
_cell_length_c 6.616
_cell_angle_alpha 90.00
_cell_angle_beta 90.00
_cell_angle_gamma 90.00
_space_group_name_H-M_alt 'F -4 3 m'
_space_group_IT_number 216
_space_group_name_Hall 'F -4 2 3'
loop_
_atom_site_label
_atom_site_type_symbol
_atom_site_fract_x
_atom_site_fract_y
_atom_site_fract_z
Sr1 Sr 0.000 0.000 0.000
Si1 Si 0.000 0.000 0.500
Si2 Si 0.250 0.250 0.250
Tc1 Tc 0.250 0.250 0.750
```